TbTm2Ag4Ge4 | PBE | optimized geometry

Unit cell a=8.3520 b=8.3520 c=8.3520 alpha=150.16 beta=129.24 gamma=60.00
Element x y z (fractional)
Tb: 0.0000 0.0000 0.0000
Tm: 0.3746 0.8746 0.5000
Tm: 0.6254 0.1254 0.5000
Ag: 0.0291 0.3307 0.6984
Ag: 0.3677 0.6693 0.6984
Ag: 0.6323 0.3307 0.3016
Ag: 0.9709 0.6693 0.3016
Ge: 0.2179 0.2179 0.0000
Ge: 0.3176 0.5000 0.8176
Ge: 0.6824 0.5000 0.1824
Ge: 0.7821 0.7821 0.0000

Computed properties:
total energy = -4.45 eV/atom
magnetic moment = 0.0 μB per formula unit
crystal system = orthorhombic

TcAgGe | PBE | optimized geometry

Unit cell a=4.2067 b=4.2067 c=4.2067 alpha=60.00 beta=60.00 gamma=60.00
Element x y z (fractional)
Tc: 0.0000 0.0000 0.0000
Ag: 0.5000 0.5000 0.5000
Ge: 0.7500 0.7500 0.7500

Computed properties:
offset from the most stable computed form = 0 meV per atom
magnetic moment = 0.0 μB per formula unit
crystal system = cubic

TcAg2Ge | PBE | optimized geometry

Unit cell a=4.5111 b=4.5111 c=4.5111 alpha=60.00 beta=60.00 gamma=60.00
Element x y z (fractional)
Tc: 0.0000 0.0000 0.0000
Ag: 0.2500 0.2500 0.2500
Ag: 0.5000 0.5000 0.5000
Ge: 0.7500 0.7500 0.7500

Computed properties:
total energy = -4.78 eV/atom
magnetic moment = 0.0 μB per formula unit
crystal system = cubic

Ag3GeTe4 | PBE | optimized geometry

Unit cell a=7.7702 b=7.7702 c=7.7702 alpha=131.59 beta=131.59 gamma=70.87
Element x y z (fractional)
Ag: 0.0000 0.0000 0.0000
Ag: 0.2500 0.7500 0.5000
Ag: 0.7500 0.2500 0.5000
Ge: 0.5000 0.5000 0.0000
Te: 0.1365 0.1365 0.5174
Te: 0.3810 0.8635 0.0000
Te: 0.6190 0.6190 0.4826
Te: 0.8635 0.3810 0.0000

Computed properties:
total energy = -3.28 eV/atom
crystal system = tetragonal